The following is a DFT calculation (GGA+U) of TlNi2F after structural relaxation.

Cell and atoms, written as POSCAR:
```
TlNi2F
1.0
-2.343 2.343 6.660
2.343 -2.343 6.660
2.343 2.343 -6.660
Tl Ni F
2 4 2
Cartesian
0.000 0.000 0.000 Tl
0.000 2.343 3.330 Tl
1.171 1.941 -1.665 Ni
2.745 1.171 1.665 Ni
1.171 0.402 4.995 Ni
-0.402 1.171 8.325 Ni
2.343 0.000 3.330 F
0.000 0.000 6.660 F
```

VASP energy in eV per cell: -19.2
Symmetry: I-42d, No. 122